{
  "formula": "YZr2HgPb",
  "functional": "PBE",
  "state": "relaxed",
  "formation_energy_kj_per_mol_atoms": 82.8,
  "magnetic_moment_mub_per_fu": 2.62,
  "cell": [[5.475, 0.000, 0.000], [0.000, 5.424, 0.000], [0.000, 0.000, 5.475]],
  "species": ["Zr", "Hg", "Zr", "Y", "Pb"],
  "fractional_positions": [[0.000, 0.000, 0.500], [0.000, 0.500, 0.000], [0.500, 0.000, 0.000], [0.500, 0.500, 0.500], [0.000, 0.000, 0.000]]
}

{
  "formula": "SmY4Sc",
  "functional": "PBE",
  "state": "relaxed",
  "formation_energy_kj_per_mol_atoms": 19.6,
  "magnetic_moment_mub_per_fu": 0.00,
  "e_above_lowest_polymorph_ev_per_atom": 0.000,
  "cell": [[-2.012, -2.708, -0.692], [3.003, -4.833, 1.609], [-4.739, -0.938, 8.875]],
  "species": ["Y", "Y", "Y", "Sm", "Y", "Sc"],
  "fractional_positions": [[0.657, 0.535, 0.151], [0.154, 0.029, 0.663], [0.343, 0.465, 0.849], [0.500, 0.500, 0.500], [0.846, 0.971, 0.337], [0.000, 0.000, 0.000]]
}

{
  "formula": "NaPaBiO4",
  "functional": "PBE",
  "state": "relaxed",
  "e_form_raw_ev_per_atom": -2.296,
  "magnetic_moment_mub_per_fu": 0.00,
  "cell": [[-3.695, 3.699, 3.647], [-3.154, -6.550, -2.124], [4.861, -0.193, 5.121]],
  "species": ["O", "O", "O", "O", "O", "O", "Pa", "Na", "Bi", "Na", "Pa", "Bi", "O", "O"],
  "fractional_positions": [[0.718, 0.018, 0.759], [0.282, 0.982, 0.241], [0.700, 0.982, 0.241], [0.684, 0.368, 0.668], [0.316, 0.632, 0.332], [0.316, 0.632, 0.801], [0.500, 0.000, 0.500], [0.851, 0.701, 0.101], [0.000, 0.500, 0.500], [0.149, 0.299, 0.899], [0.500, 0.000, 0.000], [0.500, 0.500, 0.500], [0.300, 0.018, 0.759], [0.684, 0.368, 0.199]]
}

Please write out number 1 again, unchanged.
{
  "formula": "YZr2HgPb",
  "functional": "PBE",
  "state": "relaxed",
  "formation_energy_kj_per_mol_atoms": 82.8,
  "magnetic_moment_mub_per_fu": 2.62,
  "cell": [[5.475, 0.000, 0.000], [0.000, 5.424, 0.000], [0.000, 0.000, 5.475]],
  "species": ["Zr", "Hg", "Zr", "Y", "Pb"],
  "fractional_positions": [[0.000, 0.000, 0.500], [0.000, 0.500, 0.000], [0.500, 0.000, 0.000], [0.500, 0.500, 0.500], [0.000, 0.000, 0.000]]
}